A plane-wave DFT calculation with PBE-GGA was carried out for a relaxed structure of Pu2NpUS4.

Summary:
Its density of states at the Fermi level is 3.373 states/eV/atom. The symmetry is P2/m. Its uncorrected formation energy is -149.2 kJ/mol of atoms. The value obtained for the raw total energy is -81.77 eV per cell. The calculation puts the total moment at 17.88 μB/f.u.

Geometry as POSCAR:
```
Pu2NpUS4
1.0
6.759 0.000 0.000
0.000 3.883 0.000
-2.227 0.000 6.497
Pu Np U S
2 1 1 4
Direct
0.000 0.000 0.000
0.500 0.500 0.000
0.000 0.500 0.500
0.500 0.000 0.500
0.250 0.000 0.748
0.251 0.500 0.251
0.749 0.500 0.749
0.750 0.000 0.252
```